1.
CePd2Rh: optimized geometry, GGA-PBE.

Structure (POSCAR):
```
CePd2Rh
1.0
0.0000 3.3118 3.3118
3.3118 0.0000 3.3118
3.3118 3.3118 0.0000
Ce Pd Rh
1 2 1
Cartesian
0.0000 0.0000 0.0000 Ce
1.6559 1.6559 1.6559 Pd
4.9676 4.9676 4.9676 Pd
3.3118 3.3118 3.3118 Rh
```

Formation energy   -46.8 kJ per mole of atoms
Space group   Fm-3m, No. 225
Crystal system   cubic

2.
TbErAgOs: optimized geometry, GGA-PBE.

Structure (POSCAR):
```
TbErAgOs
1.0
3.3997 0.0000 0.0000
0.0000 3.3997 0.0000
0.0000 0.0000 7.5890
Tb Er Ag Os
1 1 1 1
Cartesian
0.0000 0.0000 0.0000 Tb
0.0000 0.0000 4.2455 Er
1.6999 1.6999 2.1757 Ag
1.6999 1.6999 5.8899 Os
```

Formation energy   -31.6 kJ per mole of atoms
Relative energy among the computed polymorphs   0 meV per atom
Space group   P4mm, No. 99
Crystal system   tetragonal

3.
CeThBi6: optimized geometry, GGA-PBE.

Structure (POSCAR):
```
CeThBi6
1.0
4.6513 0.0000 0.0000
0.0000 2.3120 11.9780
0.0000 -2.3120 11.9780
Ce Th Bi
1 1 6
Cartesian
0.0000 0.0000 0.0000 Ce
2.3257 0.0000 8.2810 Th
0.0000 0.0000 5.6821 Bi
0.0000 0.0000 14.5262 Bi
0.0000 0.0000 20.7219 Bi
2.3257 0.0000 2.6210 Bi
2.3257 0.0000 11.6149 Bi
2.3257 0.0000 17.6609 Bi
```

Formation energy   -31.8 kJ per mole of atoms
Space group   Amm2, No. 38
Crystal system   orthorhombic

4.
CdPb2Cl6: optimized geometry, GGA-PBE.

Structure (POSCAR):
```
CdPb2Cl6
1.0
7.1853 0.0000 0.0000
0.0000 6.8471 0.0000
-7.1747 0.0000 11.9976
Cd Pb Cl
2 4 12
Cartesian
0.0000 0.0000 0.0000 Cd
-3.5874 3.4235 5.9988 Cd
-3.5819 0.0069 9.7903 Pb
0.0054 3.4166 3.7915 Pb
0.0051 3.4305 8.2061 Pb
3.5925 6.8402 2.2073 Pb
-2.4405 4.9567 4.1225 Cl
-6.0278 5.3139 10.1213 Cl
2.2577 1.4063 0.0042 Cl
-1.3297 2.0173 6.0030 Cl
-2.4401 4.9685 7.8689 Cl
1.1472 5.3021 1.8701 Cl
-1.1367 1.5449 10.1275 Cl
2.4507 1.8786 4.1287 Cl
1.3402 4.8298 5.9946 Cl
-2.2472 5.4408 11.9934 Cl
6.0384 1.5332 1.8763 Cl
2.4510 1.8904 7.8751 Cl
```

Relative energy among the computed polymorphs   0 meV per atom
Space group   P2_1/c, No. 14
Uncorrected formation energy   -1.130 eV/atom
Crystal system   monoclinic

5.
ScSiP2: optimized geometry, GGA-PBE.

Structure (POSCAR):
```
ScSiP2
1.0
4.9636 -1.6263 0.0000
4.9636 1.6263 0.0000
-0.7159 0.0000 4.5165
Sc Si P
1 1 2
Cartesian
0.0000 0.0000 0.0000 Sc
4.6057 0.0000 2.2583 Si
2.5533 0.0000 0.7679 P
6.6580 0.0000 3.7486 P
```

Space group   C2/m, No. 12
Uncorrected formation energy   -0.260 eV/atom
Crystal system   monoclinic

6.
La8PmRh2: optimized geometry, GGA-PBE.

Structure (POSCAR):
```
La8PmRh2
1.0
4.4022 -7.2168 0.0000
4.4022 7.2168 0.0000
-1.1176 0.0000 5.7189
La Pm Rh
8 1 2
Cartesian
-0.0615 0.0000 4.5190 La
2.0804 1.8355 2.4780 La
4.4022 3.6927 0.0000 La
2.0804 -1.8355 2.4780 La
5.6064 1.8355 3.2409 La
4.4022 -3.6927 0.0000 La
5.6064 -1.8355 3.2409 La
7.7483 0.0000 1.1999 La
4.4022 0.0000 0.0000 Pm
3.8434 4.2319 2.8595 Rh
3.8434 -4.2319 2.8595 Rh
```

Formation energy   -22.4 kJ per mole of atoms
Space group   C2/m, No. 12
Crystal system   monoclinic

| no. | DOS(E_F) (states/eV/f.u.) |
| --- | --- |
| 1 | 4.23 |
| 2 | 2.23 |
| 3 | 9.06 |
| 4 | 0.00 |
| 5 | 2.09 |
| 6 | 15.14 |